# 1
Below is an optimized crystal structure of LiMg2CdCo, with properties calculated at the GGA-PBE level.

The value obtained for the formation energy is 1.1 eV per formula unit.

The space group is P4/mmm (No. 123) and the conventional cell measures 4.793, 4.793 and 4.989 Å, with angles of 90.00, 90.00 and 90.00 degrees. The asymmetric unit holds Li at (0.000, 0.000, 0.000), Mg at (0.000, 0.500, 0.500), Cd at (0.500, 0.500, 0.000) and Co at (0.500, 0.500, 0.500).

---

# 2
Below is an optimized crystal structure of LiMg2CdCo, with properties calculated at the GGA-PBE level.

The value obtained for the formation energy is 3.7 eV per formula unit.

The space group is P4/mmm (No. 123) and the conventional cell measures 4.712, 4.712 and 4.574 Å, with angles of 90.00, 90.00 and 90.00 degrees. The asymmetric unit holds Li at (0.000, 0.000, 0.000), Mg at (0.000, 0.500, 0.000), Cd at (0.000, 0.000, 0.500) and Co at (0.500, 0.500, 0.500).

---

# 3
Below is an optimized crystal structure of LiMnCdCo2, with properties calculated at the GGA-PBE level.

The value obtained for the formation energy is 6.5 eV per formula unit.

The space group is P4/mmm (No. 123) and the conventional cell measures 4.749, 4.749 and 4.416 Å, with angles of 90.00, 90.00 and 90.00 degrees. The asymmetric unit holds Li at (0.000, 0.000, 0.000), Mn at (0.500, 0.500, 0.000), Cd at (0.000, 0.000, 0.500) and Co at (0.000, 0.500, 0.500).

---

# 4
Below is an optimized crystal structure of Li5CdCoN2, with properties calculated at the GGA-PBE level.

For the formation energy (no corrections), the calculation gives -0.24 eV per atom.

The space group is P4/mmm (No. 123) and the conventional cell measures 4.126, 4.126 and 7.511 Å, with angles of 90.00, 90.00 and 90.00 degrees. The asymmetric unit holds Li at (0.000, 0.000, 0.000), Li at (0.000, 0.500, 0.294), Cd at (0.500, 0.500, 0.000), Co at (0.000, 0.000, 0.500) and N at (0.000, 0.000, 0.264).

---

Which theoretical density belongs to each record? In order, 3.29; 3.71; 4.87; 3.04 Mg/m³.
Which DOS(E_F) belongs to each record? In order, 1.9; 4.4; 6.6; 4.0 states/eV/cell.